Here is crystalline PrThGaAg at its relaxed geometry from Alexandria. Energies are from PBE-GGA.

Values from the calculation:
- ΔE_f: -0.28 eV/atom
- Symmetry: F-43m, No. 216
- Total magnetization: 0.00 μB per formula unit

Cell lengths 5.289, 5.289, 5.289 Å; angles 60.00, 60.00, 60.00 degrees
Atoms (fractional coordinates):
1 Ga 0.750 0.750 0.750
2 Pr 0.500 0.500 0.500
3 Ag 0.250 0.250 0.250
4 Th 0.000 0.000 0.000

Here is crystalline Ac2ErNi at its relaxed geometry from Alexandria. Energies are from PBE-GGA.

Values from the calculation:
- E above lowest polymorph: 0 kJ/mol of formula units
- ΔE_f: 0.01 eV/atom
- Symmetry: P4/mmm, No. 123
- Total magnetization: 0.00 μB per formula unit

Cell lengths 3.777, 3.777, 8.832 Å; angles 90.00, 90.00, 90.00 degrees
Atoms (fractional coordinates):
1 Ni 0.500 0.500 0.000
2 Ac 0.000 0.000 0.800
3 Er 0.500 0.500 0.500
4 Ac 0.000 0.000 0.200

Here is crystalline Tb3Pm4Mg at its relaxed geometry from Alexandria. Energies are from PBE-GGA.

Values from the calculation:
- E above lowest polymorph: 45 kJ/mol of formula units
- ΔE_f: 0.08 eV/atom
- Symmetry: P4/mmm, No. 123
- Total magnetization: 0.00 μB per formula unit

Cell lengths 4.088, 4.088, 15.507 Å; angles 90.00, 90.00, 90.00 degrees
Atoms (fractional coordinates):
1 Pm 0.000 0.000 0.620
2 Tb 0.500 0.500 0.253
3 Pm 0.000 0.000 0.118
4 Pm 0.000 0.000 0.882
5 Tb 0.500 0.500 0.500
6 Tb 0.500 0.500 0.747
7 Pm 0.000 0.000 0.380
8 Mg 0.500 0.500 0.000

Here is crystalline Cu8Pd3Pt2 at its relaxed geometry from Alexandria. Energies are from PBE-GGA.

Values from the calculation:
- ΔE_f: 0.04 eV/atom
- Symmetry: R-3m, No. 166
- Total magnetization: 0.00 μB per formula unit

Cell lengths 4.720, 4.720, 9.888 Å; angles 76.19, 76.19, 60.00 degrees
Atoms (fractional coordinates):
1 Cu 0.731 0.731 0.310
2 Pt 0.360 0.360 0.920
3 Cu 0.269 0.771 0.690
4 Cu 0.229 0.731 0.310
5 Pd 0.183 0.183 0.451
6 Pt 0.640 0.640 0.080
7 Cu 0.731 0.229 0.310
8 Pd 0.817 0.817 0.549
9 Cu 0.727 0.727 0.819
10 Pd 0.000 0.000 0.000
11 Cu 0.269 0.269 0.690
12 Cu 0.771 0.269 0.690
13 Cu 0.273 0.273 0.181

Here is crystalline RuRhW2 at its relaxed geometry from Alexandria. Energies are from PBE-GGA.

Values from the calculation:
- E above lowest polymorph: 0 kJ/mol of formula units
- ΔE_f: -0.08 eV/atom
- Symmetry: I4/mmm, No. 139
- Total magnetization: 0.00 μB per formula unit

Cell lengths 4.765, 4.765, 4.765 Å; angles 131.13, 131.13, 71.61 degrees
Atoms (fractional coordinates):
1 Ru 0.750 0.250 0.500
2 W 0.000 0.000 0.000
3 Rh 0.250 0.750 0.500
4 W 0.500 0.500 0.000

Here is crystalline MnTl3Cl7 at its relaxed geometry from Alexandria. Energies are from PBE-GGA.

Values from the calculation:
- Formation energy from raw total energies: -0.944 eV/atom
- Symmetry: P4/mbm, No. 127
- Total magnetization: 2.98 μB per formula unit

Cell lengths 6.781, 9.653, 9.653 Å; angles 90.00, 90.00, 90.00 degrees
Atoms (fractional coordinates):
1 Cl 0.759 0.617 0.117
2 Cl 0.241 0.617 0.117
3 Tl 0.500 0.674 0.826
4 Tl 0.000 0.500 0.500
5 Cl 0.000 0.333 0.167
6 Mn 0.000 0.500 0.000
7 Cl 0.759 0.117 0.383
8 Tl 0.500 0.174 0.674
9 Cl 0.759 0.883 0.617
10 Cl 0.000 0.167 0.667
11 Tl 0.500 0.326 0.174
12 Cl 0.241 0.383 0.883
13 Cl 0.000 0.667 0.833
14 Tl 0.500 0.826 0.326
15 Cl 0.241 0.117 0.383
16 Tl 0.000 0.000 0.000
17 Cl 0.500 0.500 0.500
18 Cl 0.500 0.000 0.000
19 Mn 0.000 0.000 0.500
20 Cl 0.000 0.833 0.333
21 Cl 0.241 0.883 0.617
22 Cl 0.759 0.383 0.883